#a
A crystal of CdCo2Cl relaxed with PBEsol, computed with meta-GGA SCAN.

Geometry as extended XYZ:
```
4
Lattice="0.000 3.061 3.061 3.061 0.000 3.061 3.061 3.061 0.000" Properties=species:S:1:pos:R:3 pbc="T T T"
Cd 0.000 0.000 0.000
Co 1.531 1.531 1.531
Co 4.592 4.592 4.592
Cl 3.061 3.061 3.061
```

Results
* space group: Fm-3m (225)

---

#b
A crystal of CdCo2Cl relaxed with PBEsol, computed with meta-GGA SCAN.

Geometry as extended XYZ:
```
4
Lattice="2.790 -3.700 0.000 2.790 3.700 0.000 0.000 0.000 2.857" Properties=species:S:1:pos:R:3 pbc="T T T"
Cd 0.000 0.000 0.000
Co 1.395 1.850 1.429
Co 1.395 -1.850 1.429
Cl 2.790 0.000 0.000
```

Results
* space group: Cmmm (65)

---

#c
A crystal of CdCo2Cl relaxed with PBEsol, computed with meta-GGA SCAN.

Geometry as extended XYZ:
```
4
Lattice="4.688 -1.450 0.000 4.688 1.450 0.000 -4.538 0.000 5.493" Properties=species:S:1:pos:R:3 pbc="T T T"
Cd 0.000 0.000 0.000
Co 2.544 0.000 0.832
Co 2.294 0.000 4.661
Cl -2.269 0.000 2.746
```

Results
* space group: C2/m (12)

---

#d
A crystal of CdCo2Cl relaxed with PBEsol, computed with meta-GGA SCAN.

Geometry as extended XYZ:
```
4
Lattice="2.893 0.000 0.000 0.000 2.893 0.000 0.000 0.000 7.274" Properties=species:S:1:pos:R:3 pbc="T T T"
Cd 0.000 0.000 0.000
Co 0.000 0.000 4.187
Co 1.447 1.447 5.520
Cl 1.447 1.447 2.697
```

Results
* space group: P4mm (99)

---

According to the calculations, the structures order from most to least stable as #c, #d, #b, #a.